Run i
## Co2ReF (PBE with a Hubbard U)

Data for crystalline Co2ReF at its relaxed geometry.

theoretical density: 10.08 g/cm³
SG: I-42d

Cell and atoms, written as POSCAR:
```
Co2ReF
1.0
-3.001 3.001 2.957
3.001 -3.001 2.957
3.001 3.001 -2.957
Co Re F
4 2 2
Direct
0.068 0.625 0.943
0.375 0.318 0.443
0.682 0.125 0.057
0.875 0.932 0.557
0.250 0.750 0.500
0.500 0.500 0.000
0.000 0.000 0.000
0.750 0.250 0.500
```


Run ii
## Co2ReF (PBE with a Hubbard U)

Data for crystalline Co2ReF at its relaxed geometry.

theoretical density: 10.24 g/cm³
SG: Fm-3m

Cell and atoms, written as POSCAR:
```
Co2ReF
1.0
0.000 2.970 2.970
2.970 0.000 2.970
2.970 2.970 0.000
Co Re F
2 1 1
Direct
0.250 0.250 0.250
0.750 0.750 0.750
0.000 0.000 0.000
0.500 0.500 0.500
```


Stability, lowest: run ii


Run i
## CoRh3F (PBE with a Hubbard U)

Data for crystalline CoRh3F at its relaxed geometry.

theoretical density: 6.95 g/cm³
SG: Pm-3m

Cell and atoms, written as POSCAR:
```
CoRh3F
1.0
4.520 0.000 0.000
0.000 4.520 0.000
0.000 0.000 4.520
Co Rh F
1 3 1
Direct
0.000 0.000 0.000
0.000 0.000 0.500
0.000 0.500 0.000
0.500 0.000 0.000
0.500 0.500 0.500
```


Run ii
## CoRh3F (PBE with a Hubbard U)

Data for crystalline CoRh3F at its relaxed geometry.

theoretical density: 8.51 g/cm³
SG: Pm-3m

Cell and atoms, written as POSCAR:
```
CoRh3F
1.0
4.226 0.000 0.000
0.000 4.226 0.000
0.000 0.000 4.226
Co Rh F
1 3 1
Direct
0.000 0.000 0.000
0.000 0.500 0.500
0.500 0.000 0.500
0.500 0.500 0.000
0.500 0.500 0.500
```


Stability, lowest: run i


Run i
## CoRhF2 (PBE with a Hubbard U)

Data for crystalline CoRhF2 at its relaxed geometry.

theoretical density: 6.69 g/cm³
SG: Fm-3m

Cell and atoms, written as POSCAR:
```
CoRhF2
1.0
0.000 2.916 2.916
2.916 0.000 2.916
2.916 2.916 0.000
Co Rh F
1 1 2
Direct
0.000 0.000 0.000
0.500 0.500 0.500
0.250 0.250 0.250
0.750 0.750 0.750
```


Run ii
## CoRhF2 (PBE with a Hubbard U)

Data for crystalline CoRhF2 at its relaxed geometry.

theoretical density: 5.29 g/cm³
SG: I-42d

Cell and atoms, written as POSCAR:
```
CoRhF2
1.0
-2.610 2.610 4.605
2.610 -2.610 4.605
2.610 2.610 -4.605
Co Rh F
2 2 4
Direct
0.000 0.000 0.000
0.750 0.250 0.500
0.250 0.750 0.500
0.500 0.500 0.000
0.049 0.625 0.924
0.375 0.299 0.424
0.701 0.125 0.076
0.875 0.951 0.576
```


Stability, lowest: run i


Run i
## CoRhF2 (PBE with a Hubbard U)

Data for crystalline CoRhF2 at its relaxed geometry.

theoretical density: 6.93 g/cm³
SG: R-3m

Cell and atoms, written as POSCAR:
```
CoRhF2
1.0
1.404 0.811 7.009
-1.404 0.811 7.009
0.000 -1.621 7.009
Co Rh F
1 1 2
Direct
0.000 0.000 0.000
0.500 0.500 0.500
0.399 0.399 0.399
0.601 0.601 0.601
```


Run ii
## CoRhF2 (PBE with a Hubbard U)

Data for crystalline CoRhF2 at its relaxed geometry.

theoretical density: 6.27 g/cm³
SG: R-3m

Cell and atoms, written as POSCAR:
```
CoRhF2
1.0
1.380 0.797 8.018
-1.380 0.797 8.018
0.000 -1.594 8.018
Co Rh F
1 1 2
Direct
0.000 0.000 0.000
0.500 0.500 0.500
0.074 0.074 0.074
0.926 0.926 0.926
```


Stability, lowest: run ii


Run i
## CoRh2F (PBE with a Hubbard U)

Data for crystalline CoRh2F at its relaxed geometry.

theoretical density: 8.88 g/cm³
SG: Fm-3m

Cell and atoms, written as POSCAR:
```
CoRh2F
1.0
0.000 2.983 2.983
2.983 0.000 2.983
2.983 2.983 0.000
Co Rh F
1 2 1
Direct
0.000 0.000 0.000
0.250 0.250 0.250
0.750 0.750 0.750
0.500 0.500 0.500
```


Run ii
## CoRh2F (PBE with a Hubbard U)

Data for crystalline CoRh2F at its relaxed geometry.

theoretical density: 8.36 g/cm³
SG: I-42d

Cell and atoms, written as POSCAR:
```
CoRh2F
1.0
-3.274 3.274 2.631
3.274 -3.274 2.631
3.274 3.274 -2.631
Co Rh F
2 4 2
Direct
0.000 0.000 0.000
0.750 0.250 0.500
0.146 0.625 0.021
0.375 0.396 0.521
0.604 0.125 0.979
0.875 0.854 0.479
0.250 0.750 0.500
0.500 0.500 0.000
```


Stability, lowest: run ii


Run i
## CoRuF3 (PBE with a Hubbard U)

Data for crystalline CoRuF3 at its relaxed geometry.

theoretical density: 4.88 g/cm³
SG: Pm-3m

Cell and atoms, written as POSCAR:
```
CoRuF3
1.0
4.194 0.000 0.000
0.000 4.194 0.000
0.000 0.000 4.194
Co Ru F
1 1 3
Direct
0.000 0.000 0.000
0.500 0.500 0.500
0.000 0.500 0.500
0.500 0.000 0.500
0.500 0.500 0.000
```


Run ii
## CoRuF3 (PBE with a Hubbard U)

Data for crystalline CoRuF3 at its relaxed geometry.

theoretical density: 5.42 g/cm³
SG: Pm-3m

Cell and atoms, written as POSCAR:
```
CoRuF3
1.0
4.052 0.000 0.000
0.000 4.052 0.000
0.000 0.000 4.052
Co Ru F
1 1 3
Direct
0.000 0.000 0.000
0.500 0.500 0.500
0.000 0.000 0.500
0.000 0.500 0.000
0.500 0.000 0.000
```


Stability, lowest: run i


Run i
## Co2RuF (PBE with a Hubbard U)

Data for crystalline Co2RuF at its relaxed geometry.

theoretical density: 7.33 g/cm³
SG: I-42d

Cell and atoms, written as POSCAR:
```
Co2RuF
1.0
-3.144 3.144 2.726
3.144 -3.144 2.726
3.144 3.144 -2.726
Co Ru F
4 2 2
Direct
0.077 0.625 0.952
0.375 0.327 0.452
0.673 0.125 0.048
0.875 0.923 0.548
0.250 0.750 0.500
0.500 0.500 0.000
0.000 0.000 0.000
0.750 0.250 0.500
```


Run ii
## Co2RuF (PBE with a Hubbard U)

Data for crystalline Co2RuF at its relaxed geometry.

theoretical density: 7.53 g/cm³
SG: Fm-3m

Cell and atoms, written as POSCAR:
```
Co2RuF
1.0
0.000 2.971 2.971
2.971 0.000 2.971
2.971 2.971 0.000
Co Ru F
2 1 1
Direct
0.250 0.250 0.250
0.750 0.750 0.750
0.000 0.000 0.000
0.500 0.500 0.500
```


Stability, lowest: run ii


Run i
## CoRuF2 (PBE with a Hubbard U)

Data for crystalline CoRuF2 at its relaxed geometry.

theoretical density: 6.20 g/cm³
SG: R-3m

Cell and atoms, written as POSCAR:
```
CoRuF2
1.0
1.380 0.797 8.044
-1.380 0.797 8.044
0.000 -1.593 8.044
Co Ru F
1 1 2
Direct
0.000 0.000 0.000
0.500 0.500 0.500
0.074 0.074 0.074
0.926 0.926 0.926
```


Run ii
## CoRuF2 (PBE with a Hubbard U)

Data for crystalline CoRuF2 at its relaxed geometry.

theoretical density: 6.51 g/cm³
SG: Fm-3m

Cell and atoms, written as POSCAR:
```
CoRuF2
1.0
0.000 2.934 2.934
2.934 0.000 2.934
2.934 2.934 0.000
Co Ru F
1 1 2
Direct
0.000 0.000 0.000
0.500 0.500 0.500
0.250 0.250 0.250
0.750 0.750 0.750
```


Run iii
## CoRuF2 (PBE with a Hubbard U)

Data for crystalline CoRuF2 at its relaxed geometry.

theoretical density: 7.14 g/cm³
SG: R-3m

Cell and atoms, written as POSCAR:
```
CoRuF2
1.0
1.364 0.787 7.145
-1.364 0.787 7.145
0.000 -1.575 7.145
Co Ru F
1 1 2
Direct
0.000 0.000 0.000
0.500 0.500 0.500
0.402 0.402 0.402
0.598 0.598 0.598
```


Stability, lowest: run ii